[1]
The following is a PBE-GGA calculation of a relaxed structure of TaSi2Ir, from Alexandria.

Calculated values
total magnetic moment: 0.0 μB per formula unit
DOS at the Fermi energy: 1.9 states/eV/f.u.

abc: 4.3798 4.3798 2.9945
angles: 90.00 90.00 90.00
Fractional positions:
Ta (0.0000, 0.0000, 0.0000)
Si (0.0000, 0.5000, 0.5000)
Si (0.5000, 0.0000, 0.5000)
Ir (0.5000, 0.5000, 0.0000)

[2]
The following is a PBE-GGA calculation of a relaxed structure of La2HoPu, from Alexandria.

Calculated values
total magnetic moment: 7.8 μB per formula unit
DOS at the Fermi energy: 14.0 states/eV/f.u.
energy of formation: 0.196 eV per atom
polymorph energy (0 for the lowest one): 84.4 meV per atom

abc: 8.1003 8.1003 8.1003
angles: 90.00 90.00 90.00
Fractional positions:
La (0.2500, 0.2500, 0.2500)
La (0.2500, 0.2500, 0.7500)
La (0.2500, 0.7500, 0.2500)
La (0.2500, 0.7500, 0.7500)
La (0.7500, 0.2500, 0.2500)
La (0.7500, 0.2500, 0.7500)
La (0.7500, 0.7500, 0.2500)
La (0.7500, 0.7500, 0.7500)
Ho (0.0000, 0.0000, 0.0000)
Ho (0.0000, 0.5000, 0.5000)
Ho (0.5000, 0.0000, 0.5000)
Ho (0.5000, 0.5000, 0.0000)
Pu (0.0000, 0.0000, 0.5000)
Pu (0.0000, 0.5000, 0.0000)
Pu (0.5000, 0.0000, 0.0000)
Pu (0.5000, 0.5000, 0.5000)

[3]
The following is a PBE-GGA calculation of a relaxed structure of Ac8Te4P3S, from Alexandria.

Calculated values
total magnetic moment: 0.0 μB per formula unit
DOS at the Fermi energy: 8.6 states/eV/f.u.

abc: 9.3033 9.3033 9.3033
angles: 57.82 57.82 57.82
Fractional positions:
Ac (0.2357, 0.7399, 0.7400)
Ac (0.2385, 0.2385, 0.2385)
Ac (0.2600, 0.2601, 0.7643)
Ac (0.2600, 0.7643, 0.2600)
Ac (0.7400, 0.2357, 0.7400)
Ac (0.7400, 0.7400, 0.2357)
Ac (0.7615, 0.7615, 0.7615)
Ac (0.7643, 0.2601, 0.2601)
Te (0.0000, 0.0000, 0.0000)
Te (0.0000, 0.5000, 0.5000)
Te (0.5000, 0.0000, 0.5000)
Te (0.5000, 0.5000, 0.0000)
P (0.0000, 0.0000, 0.5000)
P (0.0000, 0.5000, 0.0000)
P (0.5000, 0.0000, 0.0000)
S (0.5000, 0.5000, 0.5000)

[4]
The following is a PBE-GGA calculation of a relaxed structure of Cu2HIrCl, from Alexandria.

Calculated values
total magnetic moment: 0.9 μB per formula unit
DOS at the Fermi energy: 4.0 states/eV/f.u.

abc: 4.8432 4.8432 4.5498
angles: 90.00 90.00 90.00
Fractional positions:
Cu (0.0000, 0.5000, 0.0000)
Cu (0.5000, 0.0000, 0.0000)
H (0.0000, 0.0000, 0.5000)
Ir (0.5000, 0.5000, 0.0000)
Cl (0.5000, 0.5000, 0.5000)

Total energy: -33.1 -111.9 -91.7 -16.3 (eV/cell)